No. 1
VASP calculation (PBE) on a relaxed PmPr2Hg3 crystal.

As for the energy of formation: -0.474 eV per atom. Its volume is 683.7 Å³/cell.

It has space group Cmmm (No. 65), with a = 5.429 Å, b = 16.303 Å, c = 7.724 Å, α = 90.00°, β = 90.00° and γ = 90.00°. The distinct sites, in fractional coordinates, are Pm at (0.000, 0.167, 0.000), Pr at (0.000, 0.166, 0.500), Pr at (0.000, 0.500, 0.000), Pr at (0.000, 0.500, 0.500), Hg at (0.000, 0.000, 0.246) and Hg at (0.000, 0.332, 0.244).

***

No. 2
VASP calculation (PBE) on a relaxed Pm2Pr3Hg4 crystal.

As for the energy of formation: -0.298 eV per atom. Its volume is 1110.4 Å³/cell.

It has space group Cmce (No. 64), with a = 7.038 Å, b = 18.987 Å, c = 8.310 Å, α = 90.00°, β = 90.00° and γ = 90.00°. The distinct sites, in fractional coordinates, are Pm at (0.000, 0.094, 0.084), Pr at (0.000, 0.000, 0.500), Pr at (0.250, 0.240, 0.750), Hg at (0.000, 0.162, 0.466) and Hg at (0.250, 0.070, 0.750).

***

No. 3
VASP calculation (PBE) on a relaxed Pm5PrHg4 crystal.

As for the energy of formation: -0.376 eV per atom. Its volume is 292.5 Å³/cell.

It has space group P4/mmm (No. 123), with a = 3.787 Å, b = 3.787 Å, c = 20.399 Å, α = 90.00°, β = 90.00° and γ = 90.00°. The distinct sites, in fractional coordinates, are Pm at (0.000, 0.000, 0.000), Pm at (0.000, 0.000, 0.187), Pm at (0.000, 0.000, 0.376), Pr at (0.500, 0.500, 0.500), Hg at (0.500, 0.500, 0.094) and Hg at (0.500, 0.500, 0.284).

***

No. 4
VASP calculation (PBE) on a relaxed Pm3PrHg2 crystal.

As for the energy of formation: -0.331 eV per atom. Its volume is 365.8 Å³/cell. The excess energy over the best structure of this formula in the dataset comes out at 0 meV/atom.

It has space group Pmc2_1 (No. 26), with a = 5.253 Å, b = 9.585 Å, c = 7.266 Å, α = 90.00°, β = 90.00° and γ = 90.00°. The distinct sites, in fractional coordinates, are Pm at (0.000, 0.057, 0.000), Pm at (0.000, 0.325, 0.344), Pm at (0.500, 0.172, 0.684), Pr at (0.500, 0.443, 0.027), Hg at (0.000, 0.350, 0.775) and Hg at (0.500, 0.148, 0.251).

***

No. 5
VASP calculation (PBE) on a relaxed Pm5PrHg3 crystal.

As for the energy of formation: -0.278 eV per atom. Its volume is 536.7 Å³/cell.

It has space group P6_3/mcm (No. 193), with a = 9.3416 Å, b = 9.3416 Å, c = 7.1012 Å, α = 90.00°, β = 90.00° and γ = 120.00°. The distinct sites, in fractional coordinates, are Pm at (0.0000, 0.3314, 0.2500), Pm at (0.3333, 0.6667, 0.0000), Pr at (0.0000, 0.0000, 0.0000) and Hg at (0.0000, 0.3374, 0.7500).

***

No. 6
VASP calculation (PBE) on a relaxed PmPrHg crystal.

As for the energy of formation: -0.097 eV per atom. Its volume is 413.0 Å³/cell. The excess energy over the best structure of this formula in the dataset comes out at 231 meV/atom.

It has space group F-43m (No. 216), with a = 7.447 Å, b = 7.447 Å, c = 7.447 Å, α = 90.00°, β = 90.00° and γ = 90.00°. The distinct sites, in fractional coordinates, are Pm at (0.000, 0.000, 0.000), Pr at (0.000, 0.000, 0.500) and Hg at (0.250, 0.250, 0.750).

***

Which of these has the lowest energy of formation?
PmPr2Hg3

***

Which of these has the highest energy of formation?
PmPrHg

***

Which value of energy of formation does entry 2 give?
-0.298 eV per atom

***

Look up the energy of formation of the fourth one.
-0.331 eV per atom